No. 1
# SrCo2Hg | the Alexandria database | meta-GGA SCAN | PBEsol geometry
# Energy (eV/atom): -30.7788
# ΔE_f (kJ/mol of formula units): 187
data_SrCo2Hg
_cell_length_a 6.707
_cell_length_b 6.707
_cell_length_c 6.707
_cell_angle_alpha 90.00
_cell_angle_beta 90.00
_cell_angle_gamma 90.00
_space_group_name_H-M_alt 'F -4 3 m'
_space_group_IT_number 216
_space_group_name_Hall 'F -4 2 3'
loop_
_atom_site_label
_atom_site_type_symbol
_atom_site_fract_x
_atom_site_fract_y
_atom_site_fract_z
Sr1 Sr 0.000 0.000 0.000
Co1 Co 0.000 0.000 0.500
Co2 Co 0.250 0.250 0.750
Hg1 Hg 0.250 0.250 0.250

=====

No. 2
# SrCoHg2 | the Alexandria database | meta-GGA SCAN | PBEsol geometry
# Energy (eV/atom): -44.0335
# ΔE_f (kJ/mol of formula units): -21
data_SrCoHg2
_cell_length_a 3.692
_cell_length_b 4.241
_cell_length_c 6.114
_cell_angle_alpha 90.00
_cell_angle_beta 107.23
_cell_angle_gamma 90.00
_space_group_name_H-M_alt 'P 1 2/m 1'
_space_group_IT_number 10
loop_
_space_group_symop_operation_xyz
'x,y,z'
'-x,-y,-z'
'-x,y,-z'
'x,-y,z'
loop_
_atom_site_label
_atom_site_type_symbol
_atom_site_fract_x
_atom_site_fract_y
_atom_site_fract_z
Sr1 Sr 0.000 0.000 0.000
Co1 Co 0.000 0.000 0.500
Hg1 Hg 0.359 0.500 0.703

=====

No. 3
# TaCo4Hg | the Alexandria database | meta-GGA SCAN | PBEsol geometry
# Energy (eV/atom): -33.8555
# ΔE_f (kJ/mol of formula units): 80
data_TaCo4Hg
_cell_length_a 6.669
_cell_length_b 6.669
_cell_length_c 6.669
_cell_angle_alpha 90.00
_cell_angle_beta 90.00
_cell_angle_gamma 90.00
_space_group_name_H-M_alt 'F -4 3 m'
_space_group_IT_number 216
_space_group_name_Hall 'F -4 2 3'
loop_
_atom_site_label
_atom_site_type_symbol
_atom_site_fract_x
_atom_site_fract_y
_atom_site_fract_z
Ta1 Ta 0.000 0.000 0.000
Co1 Co 0.125 0.125 0.375
Hg1 Hg 0.250 0.250 0.750

=====

No. 4
# TaCoHg | the Alexandria database | meta-GGA SCAN | PBEsol geometry
# Energy (eV/atom): -49.8637
# Energy relative to the lowest polymorph listed for this composition (eV/atom): 0.4509
# ΔE_f (kJ/mol of formula units): 238
data_TaCoHg
_cell_length_a 6.085
_cell_length_b 6.085
_cell_length_c 6.085
_cell_angle_alpha 90.00
_cell_angle_beta 90.00
_cell_angle_gamma 90.00
_space_group_name_H-M_alt 'F -4 3 m'
_space_group_IT_number 216
_space_group_name_Hall 'F -4 2 3'
loop_
_atom_site_label
_atom_site_type_symbol
_atom_site_fract_x
_atom_site_fract_y
_atom_site_fract_z
Ta1 Ta 0.000 0.000 0.000
Co1 Co 0.250 0.250 0.750
Hg1 Hg 0.250 0.250 0.250

=====

No. 5
# TaCoHg2 | the Alexandria database | meta-GGA SCAN | PBEsol geometry
# Energy (eV/atom): -54.4875
# ΔE_f (kJ/mol of formula units): 219
data_TaCoHg2
_cell_length_a 4.858
_cell_length_b 4.858
_cell_length_c 2.918
_cell_angle_alpha 90.00
_cell_angle_beta 90.00
_cell_angle_gamma 90.00
_space_group_name_H-M_alt 'P 4/m m m'
_space_group_IT_number 123
_space_group_name_Hall '-P 4 2'
loop_
_atom_site_label
_atom_site_type_symbol
_atom_site_fract_x
_atom_site_fract_y
_atom_site_fract_z
Ta1 Ta 0.000 0.000 0.000
Co1 Co 0.500 0.500 0.000
Hg1 Hg 0.000 0.500 0.500

=====

No. 6
# Ta4CoHg | the Alexandria database | meta-GGA SCAN | PBEsol geometry
# Energy (eV/atom): -57.9919
# ΔE_f (kJ/mol of formula units): 372
data_Ta4CoHg
_cell_length_a 7.534
_cell_length_b 7.534
_cell_length_c 7.534
_cell_angle_alpha 90.00
_cell_angle_beta 90.00
_cell_angle_gamma 90.00
_space_group_name_H-M_alt 'F -4 3 m'
_space_group_IT_number 216
_space_group_name_Hall 'F -4 2 3'
loop_
_atom_site_label
_atom_site_type_symbol
_atom_site_fract_x
_atom_site_fract_y
_atom_site_fract_z
Ta1 Ta 0.125 0.125 0.125
Co1 Co 0.250 0.250 0.750
Hg1 Hg 0.000 0.000 0.500